Entry 1:
Computed, not measured: a geometry-optimized Ni2MoAu structure at the GGA-PBE level of DFT.

Summary:
Energy of formation from the pure elements: 132 meV/atom
Space group: C2/m

a b c (Å): 8.5457 2.7036 4.9381
angles (deg): 90.00 99.03 90.00
Fractional coordinates of all 8 atoms:
Ni 0.2477 0.0000 0.2199
Ni 0.2523 0.5000 0.7801
Ni 0.7477 0.5000 0.2199
Ni 0.7523 0.0000 0.7801
Mo 0.0000 0.5000 0.0000
Mo 0.5000 0.0000 0.0000
Au 0.0000 0.0000 0.5000
Au 0.5000 0.5000 0.5000


Entry 2:
Computed, not measured: a geometry-optimized ReNi4Rh2 structure at the GGA-PBE level of DFT.

Summary:
Energy of formation from the pure elements: 4 meV/atom
Space group: P-1
Energy above the lowest structure with this stoichiometry: 0.000 eV/atom

a b c (Å): 4.5444 4.9765 8.0571
angles (deg): 91.19 106.09 90.69
Fractional coordinates of all 14 atoms:
Re 0.0096 0.1027 0.3536
Re 0.9904 0.8973 0.6464
Ni 0.1611 0.4000 0.6486
Ni 0.2704 0.4660 0.2131
Ni 0.3036 0.6782 0.9272
Ni 0.4456 0.9662 0.2112
Ni 0.5544 0.0338 0.7888
Ni 0.6964 0.3218 0.0728
Ni 0.7296 0.5340 0.7869
Ni 0.8389 0.6000 0.3514
Rh 0.1311 0.1843 0.9285
Rh 0.4171 0.7476 0.5018
Rh 0.5829 0.2524 0.4982
Rh 0.8689 0.8157 0.0715


Entry 3:
Computed, not measured: a geometry-optimized ScNi2W structure at the GGA-PBE level of DFT.

Summary:
Energy of formation from the pure elements: -63 meV/atom
Space group: Cmmm
Energy above the lowest structure with this stoichiometry: 0.056 eV/atom

a b c (Å): 5.7733 7.1813 2.7531
angles (deg): 90.00 90.00 90.00
Fractional coordinates of all 8 atoms:
Sc 0.0000 0.0000 0.0000
Sc 0.5000 0.5000 0.0000
Ni 0.2500 0.2500 0.5000
Ni 0.2500 0.7500 0.5000
Ni 0.7500 0.2500 0.5000
Ni 0.7500 0.7500 0.5000
W 0.0000 0.5000 0.0000
W 0.5000 0.0000 0.0000


Entry 4:
Computed, not measured: a geometry-optimized La2PaGe4Ir3 structure at the GGA-PBE level of DFT.

Summary:
Energy of formation from the pure elements: -708 meV/atom
Space group: P-4m2

a b c (Å): 4.2880 4.2880 11.4570
angles (deg): 90.00 90.00 90.00
Fractional coordinates of all 10 atoms:
La 0.0000 0.5000 0.2270
La 0.5000 0.0000 0.7730
Pa 0.0000 0.0000 0.5000
Ge 0.0000 0.0000 0.0000
Ge 0.0000 0.5000 0.6723
Ge 0.5000 0.0000 0.3277
Ge 0.5000 0.5000 0.0000
Ir 0.0000 0.5000 0.8873
Ir 0.5000 0.0000 0.1127
Ir 0.5000 0.5000 0.5000


Number 1: M_tot 0.00 μB per formula unit. Number 2: M_tot 1.14 μB per formula unit. Number 3: M_tot 0.00 μB per formula unit. Number 4: M_tot 0.00 μB per formula unit.